PuHgBiSb: relaxed, PBE-GGA.

Geometry as extended XYZ:
```
4
Lattice="5.417 0.000 0.000 2.709 4.691 0.000 2.709 1.564 4.423" Properties=species:S:1:pos:R:3 pbc="T T T"
Sb 0.000 0.000 0.000
Pu 2.709 1.564 1.106
Hg 5.417 3.128 2.212
Bi 8.126 4.691 3.317
```

Properties
Formation energy from raw total energies   -144 meV/atom
Calculated volume   112.4 Å³ per cell
M_tot   5.60 μB per formula unit
Space group   No. 216
Mass density   11.5 Mg/m³
Offset from the most stable computed form   152 meV per atom

---

CaGeOs3: relaxed, PBE-GGA.

Geometry as extended XYZ:
```
5
Lattice="4.711 0.000 0.000 0.000 4.711 0.000 0.000 0.000 4.711" Properties=species:S:1:pos:R:3 pbc="T T T"
Ca 0.000 0.000 0.000
Os 0.000 0.000 2.356
Os 0.000 2.356 0.000
Ge 2.356 2.356 2.356
Os 2.356 0.000 0.000
```

Properties
Calculated volume   104.6 Å³ per cell
Energy of formation   3138 meV/atom
M_tot   2.16 μB per formula unit
Space group   No. 221
Mass density   10.9 Mg/m³
Offset from the most stable computed form   1969 meV per atom

---

K2AlRe: relaxed, PBE-GGA.

Geometry as extended XYZ:
```
4
Lattice="6.494 -0.012 0.000 -4.130 5.011 0.000 0.000 0.000 2.815" Properties=species:S:1:pos:R:3 pbc="T T T"
K 1.182 2.499 0.000
Re 3.247 -0.006 1.408
Al -2.065 2.505 1.408
K 0.000 0.000 0.000
```

Properties
Calculated volume   91.5 Å³ per cell
Energy of formation   1170 meV/atom
M_tot   0.00 μB per formula unit
Space group   No. 65
Mass density   5.3 Mg/m³

---

Nd3Ag3SnS8: relaxed, PBE-GGA.

Geometry as extended XYZ:
```
15
Lattice="-5.042 -4.549 -4.602 6.646 3.426 -3.357 0.535 -5.830 5.176" Properties=species:S:1:pos:R:3 pbc="T T T"
S -0.721 -5.338 2.728
S 5.600 0.857 -3.010
S -0.079 -6.027 -1.267
Ag 0.802 -0.561 -3.979
S -0.173 -3.179 -3.979
S 2.860 -1.614 -5.510
Ag 3.323 1.713 -1.679
S -3.460 -7.809 0.227
Sn 0.268 -2.915 2.588
Nd 1.070 -3.476 -1.391
Nd 3.591 -1.202 0.909
S 2.312 -3.773 1.196
Nd -2.253 -5.189 0.287
S 2.219 -0.926 -1.516
Ag 0.000 0.000 0.000
```

Properties
Formation energy from raw total energies   -1048 meV/atom
Calculated volume   360.7 Å³ per cell
M_tot   0.00 μB per formula unit
Space group   No. 12
Mass density   5.2 Mg/m³

---

Ho2TmTh: relaxed, PBE-GGA.

Geometry as extended XYZ:
```
4
Lattice="3.533 0.000 0.000 0.000 3.533 0.000 0.000 0.000 10.027" Properties=species:S:1:pos:R:3 pbc="T T T"
Tm 1.767 1.767 5.013
Th 1.767 1.767 0.000
Ho 0.000 0.000 2.476
Ho 0.000 0.000 7.550
```

Properties
Calculated volume   125.2 Å³ per cell
Energy of formation   29 meV/atom
M_tot   0.00 μB per formula unit
Space group   No. 123
Mass density   9.7 Mg/m³
Offset from the most stable computed form   2 meV per atom

---

IrRu2Rh: relaxed, PBE-GGA.

Geometry as extended XYZ:
```
4
Lattice="-1.873 -0.255 4.316 0.809 -0.438 4.620 0.174 4.541 1.193" Properties=species:S:1:pos:R:3 pbc="T T T"
Ru 0.172 4.530 1.204
Ir -0.667 2.886 7.596
Rh -0.222 0.962 2.532
Ru -0.443 1.935 5.053
```

Properties
Calculated volume   56.5 Å³ per cell
Energy of formation   21 meV/atom
M_tot   0.00 μB per formula unit
Space group   No. 12
Mass density   14.6 Mg/m³
Offset from the most stable computed form   14 meV per atom

---

MgZr2MnC: relaxed, PBE-GGA.

Geometry as extended XYZ:
```
5
Lattice="4.664 0.000 0.000 0.000 4.664 0.000 0.000 0.000 3.756" Properties=species:S:1:pos:R:3 pbc="T T T"
Zr 2.332 0.000 0.000
Mn 0.000 0.000 1.878
Mg 2.332 2.332 1.878
Zr 0.000 2.332 0.000
C 0.000 0.000 0.000
```

Properties
Calculated volume   81.7 Å³ per cell
Energy of formation   -238 meV/atom
M_tot   0.00 μB per formula unit
Space group   No. 123
Mass density   5.6 Mg/m³

---

Sr2Hg2Sb: relaxed, PBE-GGA.

Geometry as extended XYZ:
```
10
Lattice="4.695 0.000 0.000 2.347 6.408 -0.413 2.347 0.251 11.046" Properties=species:S:1:pos:R:3 pbc="T T T"
Sr 2.347 4.698 0.765
Hg 7.042 5.360 9.331
Sb 4.695 5.482 3.082
Sb 4.695 1.177 7.551
Sr 7.042 1.962 9.868
Hg 7.042 2.956 6.747
Sr 4.695 5.232 6.546
Hg 2.347 3.703 3.887
Hg 2.347 1.299 1.302
Sr 4.695 1.428 4.087
```

Properties
Formation energy from raw total energies   -629 meV/atom
Calculated volume   332.8 Å³ per cell
M_tot   0.00 μB per formula unit
Space group   No. 12
Mass density   7.0 Mg/m³
Offset from the most stable computed form   0 meV per atom

---

ReRuCl: relaxed, PBE-GGA.

Geometry as extended XYZ:
```
3
Lattice="-5.655 1.639 3.951 -6.550 -0.015 1.767 0.403 -1.113 2.628" Properties=species:S:1:pos:R:3 pbc="T T T"
Cl -12.173 1.617 5.710
Re -3.751 -0.211 3.646
Ru -8.083 0.729 4.708
```

Properties
Formation energy from raw total energies   667 meV/atom
Calculated volume   47.3 Å³ per cell
M_tot   0.34 μB per formula unit
Space group   No. 42
Mass density   11.3 Mg/m³
Offset from the most stable computed form   317 meV per atom

---

Sc2BeZnH: relaxed, PBE-GGA.

Geometry as extended XYZ:
```
5
Lattice="4.581 0.000 0.000 0.000 4.581 0.000 0.000 0.000 3.324" Properties=species:S:1:pos:R:3 pbc="T T T"
Sc 0.000 2.290 0.000
Sc 2.290 0.000 0.000
H 0.000 0.000 0.000
Zn 2.290 2.290 1.662
Be 0.000 0.000 1.662
```

Properties
Calculated volume   69.8 Å³ per cell
M_tot   0.00 μB per formula unit
Space group   No. 123
Mass density   3.9 Mg/m³
Uncorrected energy   -4.4615 eV per atom

---

PaTl2Ag2Se4: relaxed, PBE-GGA.

Geometry as extended XYZ:
```
9
Lattice="4.258 0.000 0.000 0.000 8.023 0.249 -2.129 -2.966 7.148" Properties=species:S:1:pos:R:3 pbc="T T T"
Tl 2.129 1.219 5.296
Se 2.129 4.574 4.554
Se 2.129 6.059 0.304
Ag 0.000 -1.766 4.560
Se 0.000 -1.002 7.093
Se 0.000 0.483 2.843
Ag 2.129 6.824 2.837
Pa 0.000 0.000 0.000
Tl 0.000 3.838 2.101
```

Properties
Formation energy from raw total energies   -666 meV/atom
Calculated volume   247.3 Å³ per cell
M_tot   0.99 μB per formula unit
Space group   No. 12
Mass density   7.9 Mg/m³

---

Y2HAu: relaxed, PBE-GGA.

Geometry as extended XYZ:
```
8
Lattice="3.753 -0.003 0.001 -0.006 6.822 0.365 -1.872 -2.999 6.397" Properties=species:S:1:pos:R:3 pbc="T T T"
Au 0.800 1.785 6.600
Y 0.800 -0.456 1.749
Au 2.671 4.439 3.382
Y 0.800 -2.066 5.314
Y 0.796 2.859 1.468
H 0.800 1.297 3.090
H 0.796 1.106 0.128
Y -1.076 1.470 4.301
```

Properties
Calculated volume   167.9 Å³ per cell
M_tot   0.00 μB per formula unit
Space group   No. 2
Mass density   7.4 Mg/m³
Offset from the most stable computed form   0 meV per atom

---

KInTe3: relaxed, PBE-GGA.

Geometry as extended XYZ:
```
10
Lattice="-2.116 -3.917 -5.694 4.937 1.379 -5.095 4.337 -5.782 0.054" Properties=species:S:1:pos:R:3 pbc="T T T"
Te 2.243 -6.702 -5.994
Te 0.747 -3.307 -5.964
Te 3.836 -2.796 -7.959
In 7.116 -8.270 -10.672
Te 6.327 -4.920 -4.652
Te 3.243 -5.432 -2.652
K 5.328 -6.192 -7.990
In 3.537 -4.111 -5.304
Te 4.836 -1.520 -4.621
K 1.749 -2.033 -2.623
```

Properties
Formation energy from raw total energies   -303 meV/atom
Calculated volume   346.3 Å³ per cell
M_tot   0.00 μB per formula unit
Space group   No. 167
Mass density   5.1 Mg/m³
Offset from the most stable computed form   0 meV per atom

---

La2Tb5Pr: relaxed, PBE-GGA.

Geometry as extended XYZ:
```
32
Lattice="-3.921 -4.997 -5.744 11.976 -9.085 4.661 -0.697 -10.191 5.491" Properties=species:S:1:pos:R:3 pbc="T T T"
Tb 2.196 -18.494 2.965
La 5.998 -10.271 3.362
Tb 7.430 -18.213 6.295
Tb 2.298 -10.854 2.298
La 9.368 -9.328 3.957
Tb -1.425 -7.585 1.155
Tb -3.394 -10.925 -1.608
Tb 4.808 -9.085 0.410
Tb 3.857 -16.395 0.546
Tb 5.061 -13.420 2.109
Tb 7.644 -15.091 0.621
Tb 5.163 -5.779 1.442
Tb 8.784 -16.688 3.252
Pr 2.222 -3.704 1.661
Tb 10.753 -13.348 6.015
Tb 3.502 -7.878 3.862
La -2.009 -14.945 0.450
La 3.019 -11.834 -1.200
La 4.340 -12.439 5.607
Tb -0.071 -6.061 -1.888
Pr 5.453 -16.995 3.473
Tb -0.099 -12.744 4.255
La -1.606 -11.468 1.386
Tb 7.458 -11.530 0.152
Tb 7.302 -14.676 5.473
Tb 2.551 -15.188 3.997
La 8.965 -12.805 3.022
Tb -0.285 -9.183 3.787
Pr 1.906 -7.278 0.934
Pr 5.137 -20.569 2.746
Tb 0.057 -9.597 -1.066
La 1.361 -14.002 1.046
```

Properties
Calculated volume   1091.6 Å³ per cell
Energy of formation   88 meV/atom
M_tot   0.00 μB per formula unit
Space group   No. 2
Mass density   7.4 Mg/m³
Offset from the most stable computed form   64 meV per atom

---

Pm3Ga3Au8: relaxed, PBE-GGA.

Geometry as extended XYZ:
```
14
Lattice="-1.023 1.376 4.256 0.381 -6.973 4.819 7.357 0.051 4.225" Properties=species:S:1:pos:R:3 pbc="T T T"
Au 2.421 -5.904 7.437
Ga 6.020 -1.295 4.339
Au 1.555 -3.136 3.861
Ga 1.718 -5.627 4.705
Au 4.295 0.358 5.863
Pm 3.358 -2.773 6.650
Au 3.466 -1.212 3.698
Au 5.160 -2.409 9.439
Pm 5.970 -5.247 8.077
Pm 0.745 -0.298 5.222
Au 0.181 -3.783 6.213
Au 3.249 -4.334 9.601
Ga -0.511 0.688 2.128
Au 6.534 -1.763 7.086
```

Properties
Calculated volume   295.4 Å³ per cell
Energy of formation   -589 meV/atom
M_tot   0.00 μB per formula unit
Space group   No. 71
Mass density   12.5 Mg/m³
Offset from the most stable computed form   56 meV per atom

---

DyCoSi3Ru: relaxed, PBE-GGA.

Geometry as extended XYZ:
```
12
Lattice="-3.242 4.294 -0.287 -4.816 -3.354 4.223 4.817 3.792 2.316" Properties=species:S:1:pos:R:3 pbc="T T T"
Si 0.316 2.062 1.998
Si -3.556 2.670 4.254
Co -0.598 1.260 0.318
Co -2.642 3.472 5.934
Si -2.793 1.331 0.884
Si -1.172 -0.816 1.027
Ru -4.524 1.820 2.475
Dy -1.274 4.236 1.911
Si -5.265 -0.391 3.052
Dy -1.966 0.496 4.341
Si -3.644 -2.538 3.195
Ru 1.284 2.912 3.777
```

Properties
Formation energy from raw total energies   -398 meV/atom
Calculated volume   212.9 Å³ per cell
M_tot   0.00 μB per formula unit
Space group   No. 63
Mass density   6.3 Mg/m³

---

LiIn2Rh: relaxed, PBE-GGA.

Geometry as extended XYZ:
```
4
Lattice="4.531 0.010 0.002 -0.007 4.532 0.002 -0.003 -0.003 3.381" Properties=species:S:1:pos:R:3 pbc="T T T"
In 2.262 2.271 0.002
In 0.000 0.000 0.000
Li 2.264 0.004 1.691
Rh -0.005 2.264 1.691
```

Properties
Calculated volume   69.4 Å³ per cell
Energy of formation   -332 meV/atom
M_tot   0.00 μB per formula unit
Space group   No. 123
Mass density   8.1 Mg/m³
Offset from the most stable computed form   86 meV per atom

---

Ba4MnHg: relaxed, PBE-GGA.

Geometry as extended XYZ:
```
6
Lattice="-5.030 0.439 5.299 -6.571 -3.089 -0.925 -1.811 -5.968 3.831" Properties=species:S:1:pos:R:3 pbc="T T T"
Ba -8.315 -4.776 2.613
Ba -5.934 -6.216 4.993
Ba -7.544 -3.011 5.727
Hg -10.058 -6.463 6.154
Mn 0.000 0.000 0.000
Ba -5.028 -3.231 3.076
```

Properties
Calculated volume   277.3 Å³ per cell
Energy of formation   659 meV/atom
M_tot   2.76 μB per formula unit
Space group   No. 216
Mass density   4.8 Mg/m³

---

RePd3: relaxed, PBE-GGA.

Geometry as extended XYZ:
```
4
Lattice="2.759 0.000 0.000 0.000 4.829 0.000 -1.379 -2.415 4.519" Properties=species:S:1:pos:R:3 pbc="T T T"
Pd 0.000 1.632 2.310
Pd 1.379 2.380 0.000
Pd 1.379 -0.783 2.209
Re 0.000 4.819 0.000
```

Properties
Calculated volume   60.2 Å³ per cell
Energy of formation   129 meV/atom
M_tot   0.00 μB per formula unit
Space group   No. 44
Mass density   13.9 Mg/m³

---

AcPmAu4: relaxed, PBE-GGA.

Geometry as extended XYZ:
```
6
Lattice="5.836 0.000 0.000 2.918 5.054 0.000 2.918 1.685 4.765" Properties=species:S:1:pos:R:3 pbc="T T T"
Au 7.302 4.216 2.981
Au 4.370 4.216 2.981
Ac 2.918 1.685 1.191
Au 5.836 1.677 2.981
Au 5.836 3.369 0.587
Pm 0.000 0.000 0.000
```

Properties
Calculated volume   140.5 Å³ per cell
Energy of formation   -519 meV/atom
M_tot   0.00 μB per formula unit
Space group   No. 216
Mass density   13.7 Mg/m³
Offset from the most stable computed form   280 meV per atom